DFT (PBE) results for a relaxed TlAgHg2 crystal.

a b c (Å): 3.3637 3.3637 8.7456
angles (deg): 90.00 90.00 90.71
With the nearest neighbours (Å) after each atom.
Positions (direct):
Tl  0.0000  0.0000  0.0000  4 Ag 3.16-3.18, 4 Tl 3.36, 4 Hg 3.44-3.46
Ag  0.5000  0.5000  0.7602  4 Hg 3.00-3.03, 4 Tl 3.16-3.18
Hg  0.0000  0.0000  0.5485  4 Ag 3.00-3.03, 4 Hg 3.29-3.31
Hg  0.5000  0.5000  0.2863  8 Hg 3.29-3.36, 4 Tl 3.44-3.46

Output
volume	98.9	Å³/cell
energy relative to the elements	0.30	eV/f.u.
space group	Cmm2, No. 35
total magnetization	0.000	μB per cell